[1]
! ZrCoAsPt PBE optimized geometry; values from VASP
! E above lowest polymorph in meV/atom: 84
&SYSTEM
  ibrav = 0, nat = 4, ntyp = 4
/
ATOMIC_SPECIES
Co 58.93 Co.upf
Pt 195.08 Pt.upf
Zr 91.22 Zr.upf
As 74.92 As.upf
ATOMIC_POSITIONS angstrom
Co -4.471 -3.257 6.197
Pt -1.490 -1.086 2.066
Zr -2.981 -2.171 4.131
As 0.000 0.000 0.000
CELL_PARAMETERS angstrom
-2.295 0.932 3.783
-3.720 -2.356 1.026
0.053 -2.918 3.453



[2]
! RbCo3As5 PBE optimized geometry; values from VASP
! E in eV per formula unit: -47.3
&SYSTEM
  ibrav = 0, nat = 9, ntyp = 3
/
ATOMIC_SPECIES
As 74.92 As.upf
Co 58.93 Co.upf
Rb 85.47 Rb.upf
ATOMIC_POSITIONS angstrom
As 3.546 -3.435 4.657
As 2.244 -1.368 6.258
As 0.884 -3.043 1.984
As -0.419 -0.976 3.585
As 2.969 -0.438 2.981
Co 1.564 -2.206 4.121
Co 3.243 -2.872 2.350
Co 1.289 0.229 4.751
Rb 0.000 0.000 0.000
CELL_PARAMETERS angstrom
-3.359 1.333 3.541
0.549 -4.869 -1.261
5.938 -0.875 5.962



[3]
! Co2Re5As12 PBE optimized geometry; values from VASP
! E in eV per formula unit: -134.9
&SYSTEM
  ibrav = 0, nat = 38, ntyp = 3
/
ATOMIC_SPECIES
As 74.92 As.upf
Co 58.93 Co.upf
Re 186.21 Re.upf
ATOMIC_POSITIONS angstrom
As 1.990 14.255 1.584
As 2.617 8.813 1.584
As 5.459 4.078 0.000
As 10.090 6.912 1.584
As 4.364 6.393 0.000
As 3.447 11.668 0.000
As 1.208 1.536 0.000
As 9.801 11.919 1.584
As 8.971 14.774 0.000
As 7.248 11.647 0.000
As 3.736 0.951 0.000
As 0.390 6.629 0.000
As 5.963 14.491 1.584
As 10.717 1.469 1.584
As 0.895 11.940 1.584
As 8.344 9.332 0.000
As 6.744 1.233 1.584
As 7.562 6.326 1.584
As 12.317 9.095 0.000
As 11.813 3.784 1.584
As 2.907 3.806 1.584
As 5.145 9.399 1.584
As 9.260 4.057 0.000
As 11.499 14.188 0.000
Co 7.972 13.294 1.584
Co 11.089 5.432 0.000
Co 1.618 10.293 0.000
Co 4.735 2.430 1.584
Re 2.321 6.244 1.584
Re 5.305 11.975 1.584
Re 4.032 14.106 0.000
Re 11.659 11.611 0.000
Re 10.386 9.480 1.584
Re 0.000 0.000 1.584
Re 8.675 1.618 0.000
Re 1.048 4.113 0.000
Re 6.354 7.862 0.000
Re 7.402 3.749 1.584
CELL_PARAMETERS angstrom
12.707 0.000 0.000
0.000 15.724 0.000
0.000 0.000 3.169



[4]
! Co2ReAs PBE optimized geometry; values from VASP
! E in eV per formula unit: -30.4
&SYSTEM
  ibrav = 0, nat = 4, ntyp = 3
/
ATOMIC_SPECIES
Re 186.21 Re.upf
As 74.92 As.upf
Co 58.93 Co.upf
ATOMIC_POSITIONS angstrom
Re -2.281 -1.046 0.257
As -4.563 -2.093 0.513
Co -6.844 -3.139 0.770
Co 0.000 0.000 0.000
CELL_PARAMETERS angstrom
-2.695 -2.641 -1.654
-2.389 -2.305 2.441
-4.042 0.761 0.240



[5]
! ScCoReAs PBE optimized geometry; values from VASP
! E above lowest polymorph in meV/atom: 0
&SYSTEM
  ibrav = 0, nat = 4, ntyp = 4
/
ATOMIC_SPECIES
Sc 44.96 Sc.upf
As 74.92 As.upf
Re 186.21 Re.upf
Co 58.93 Co.upf
ATOMIC_POSITIONS angstrom
Sc -4.678 -2.354 0.842
As 0.000 0.000 0.000
Re -2.339 -1.177 0.421
Co -7.017 -3.531 1.263
CELL_PARAMETERS angstrom
-3.219 -0.552 2.843
-4.085 -0.349 -1.395
-2.051 -3.807 0.236



[6]
! CoReTcAs PBE optimized geometry; values from VASP
! E above lowest polymorph in meV/atom: 0
&SYSTEM
  ibrav = 0, nat = 4, ntyp = 4
/
ATOMIC_SPECIES
As 74.92 As.upf
Co 58.93 Co.upf
Tc 98.00 Tc.upf
Re 186.21 Re.upf
ATOMIC_POSITIONS angstrom
As 0.000 0.000 0.000
Co 3.408 -5.690 4.319
Tc 2.272 -3.793 2.879
Re 1.136 -1.897 1.440
CELL_PARAMETERS angstrom
3.409 -2.616 0.310
1.610 -0.990 3.871
-0.476 -3.981 1.577



[7]
! CoReAsW PBE optimized geometry; values from VASP
! E above lowest polymorph in meV/atom: 0
&SYSTEM
  ibrav = 0, nat = 4, ntyp = 4
/
ATOMIC_SPECIES
As 74.92 As.upf
Co 58.93 Co.upf
W 183.84 W.upf
Re 186.21 Re.upf
ATOMIC_POSITIONS angstrom
As 0.000 0.000 0.000
Co 4.613 4.613 4.613
W 3.076 3.076 3.076
Re 1.538 1.538 1.538
CELL_PARAMETERS angstrom
0.000 3.076 3.076
3.076 0.000 3.076
3.076 3.076 0.000



[8]
! YCoReAs PBE optimized geometry; values from VASP
! E above lowest polymorph in meV/atom: 229
&SYSTEM
  ibrav = 0, nat = 4, ntyp = 4
/
ATOMIC_SPECIES
Co 58.93 Co.upf
Re 186.21 Re.upf
Y 88.91 Y.upf
As 74.92 As.upf
ATOMIC_POSITIONS angstrom
Co 4.872 4.872 4.872
Re 3.248 3.248 3.248
Y 1.624 1.624 1.624
As 0.000 0.000 0.000
CELL_PARAMETERS angstrom
0.000 3.248 3.248
3.248 0.000 3.248
3.248 3.248 0.000



[9]
! YCoReAs PBE optimized geometry; values from VASP
! E above lowest polymorph in meV/atom: 0
&SYSTEM
  ibrav = 0, nat = 4, ntyp = 4
/
ATOMIC_SPECIES
As 74.92 As.upf
Re 186.21 Re.upf
Y 88.91 Y.upf
Co 58.93 Co.upf
ATOMIC_POSITIONS angstrom
As 0.000 0.000 0.000
Re 1.591 1.591 1.591
Y 3.182 3.182 3.182
Co 4.773 4.773 4.773
CELL_PARAMETERS angstrom
0.000 3.182 3.182
3.182 0.000 3.182
3.182 3.182 0.000



[10]
! ZnCoReAs PBE optimized geometry; values from VASP
! E above lowest polymorph in meV/atom: 0
&SYSTEM
  ibrav = 0, nat = 4, ntyp = 4
/
ATOMIC_SPECIES
Co 58.93 Co.upf
Re 186.21 Re.upf
Zn 65.41 Zn.upf
As 74.92 As.upf
ATOMIC_POSITIONS angstrom
Co 4.476 4.476 4.476
Re 1.492 1.492 1.492
Zn 2.984 2.984 2.984
As 0.000 0.000 0.000
CELL_PARAMETERS angstrom
0.000 2.984 2.984
2.984 0.000 2.984
2.984 2.984 0.000



[11]
! ZnCoReAs PBE optimized geometry; values from VASP
! E above lowest polymorph in meV/atom: 392
&SYSTEM
  ibrav = 0, nat = 4, ntyp = 4
/
ATOMIC_SPECIES
Re 186.21 Re.upf
Zn 65.41 Zn.upf
Co 58.93 Co.upf
As 74.92 As.upf
ATOMIC_POSITIONS angstrom
Re 0.046 -2.934 4.407
Zn 0.023 -1.467 2.203
Co 0.069 -4.401 6.610
As 0.000 0.000 0.000
CELL_PARAMETERS angstrom
2.336 -1.150 3.450
-1.949 -0.701 3.794
-0.295 -4.017 1.569



[12]
! ZrCoReAs PBE optimized geometry; values from VASP
! E above lowest polymorph in meV/atom: 0
&SYSTEM
  ibrav = 0, nat = 4, ntyp = 4
/
ATOMIC_SPECIES
Co 58.93 Co.upf
Re 186.21 Re.upf
As 74.92 As.upf
Zr 91.22 Zr.upf
ATOMIC_POSITIONS angstrom
Co -6.813 2.676 3.556
Re -2.271 0.892 1.185
As 0.000 0.000 0.000
Zr -4.542 1.784 2.370
CELL_PARAMETERS angstrom
-1.630 2.533 3.248
-3.761 2.256 -0.626
-3.694 -1.220 2.119



[13]
! ZrCoReAs PBE optimized geometry; values from VASP
! E above lowest polymorph in meV/atom: 273
&SYSTEM
  ibrav = 0, nat = 4, ntyp = 4
/
ATOMIC_SPECIES
Co 58.93 Co.upf
As 74.92 As.upf
Re 186.21 Re.upf
Zr 91.22 Zr.upf
ATOMIC_POSITIONS angstrom
Co -6.292 -4.542 -2.859
As 0.000 0.000 0.000
Re -4.194 -3.028 -1.906
Zr -2.097 -1.514 -0.953
CELL_PARAMETERS angstrom
-4.067 -1.667 0.969
-3.121 -0.338 -3.226
-1.201 -4.050 -1.554



[14]
! CoAsS PBE optimized geometry; values from VASP
! E above lowest polymorph in meV/atom: 301
&SYSTEM
  ibrav = 0, nat = 12, ntyp = 3
/
ATOMIC_SPECIES
As 74.92 As.upf
S 32.06 S.upf
Co 58.93 Co.upf
ATOMIC_POSITIONS angstrom
As 1.242 1.347 2.315
As 3.668 4.734 2.315
As 3.610 4.734 5.724
As 1.184 1.347 5.724
S 0.810 4.351 4.000
S 1.616 4.351 0.590
S 4.042 1.730 0.590
S 3.236 1.730 4.000
Co 2.383 5.788 3.996
Co 4.809 0.293 3.996
Co 0.043 5.788 0.587
Co 2.469 0.293 0.587
CELL_PARAMETERS angstrom
4.852 0.000 0.000
0.000 6.081 0.000
0.000 0.000 6.819